Cs3MnBr7 (PBE, optimized geometry); raw total energy = -74.5 eV for the cell shown; magnetization = 6.29 μB/cell; mass density = 3.907 Mg/m³
1.0
-0.363 4.656 6.023
-10.582 -0.978 0.118
0.845 -8.357 6.512
Br Cs Mn
14 6 2
Cartesian
-9.119 -2.420 8.756
-6.500 -0.502 2.205
-1.179 -5.714 4.346
-8.922 -4.943 5.492
-0.182 2.328 3.012
-0.982 -2.259 3.896
-5.051 -2.339 6.326
-6.697 2.022 5.469
-6.325 -7.633 5.519
-3.601 -4.177 10.448
-3.404 -6.700 7.184
-1.179 0.264 7.160
-3.412 -1.702 1.110
-8.559 -3.622 2.283
-4.869 -4.668 3.315
-3.451 0.534 4.202
-1.482 -3.502 7.440
-6.650 -5.212 8.451
-8.619 -1.177 5.212
0.000 0.000 0.000
-5.291 -0.489 0.059
0.422 -4.179 3.256


HfIO2F (PBE, optimized geometry); raw total energy = -31.7 eV for the cell shown; magnetization = 0.47 μB/cell; mass density = 6.006 Mg/m³
1.0
-3.199 2.316 -0.517
-0.184 -1.107 -3.822
-3.690 -4.748 1.553
O F I Hf
2 1 1 1
Cartesian
-1.599 1.158 -0.259
-0.092 -0.554 -1.911
-3.536 -1.770 -1.393
-1.845 -2.374 0.777
0.000 0.000 0.000


SrAgP2 (PBE, optimized geometry); raw total energy = -15.5 eV for the cell shown; magnetization = 0.00 μB/cell; mass density = 5.077 Mg/m³; formation enthalpy at 0 K = -0.042 eV/atom
1.0
5.183 -0.062 0.000
-0.225 5.178 0.000
0.000 0.000 3.139
Ag P Sr
1 2 1
Cartesian
-0.112 2.589 1.570
0.000 0.000 0.000
2.479 2.558 0.000
2.591 -0.031 1.570


Al3Zn5Ga3 (PBE, optimized geometry); raw total energy = -26.0 eV for the cell shown; magnetization = 0.00 μB/cell; mass density = 5.401 Mg/m³; formation enthalpy at 0 K = 0.064 eV/atom
1.0
-0.532 -1.361 2.463
3.652 -6.984 -3.738
4.980 5.877 4.323
Ga Zn Al
3 5 3
Cartesian
5.600 0.846 3.871
3.851 -1.721 0.349
3.155 3.724 2.739
1.558 1.471 2.814
3.260 -4.284 0.417
3.929 0.740 1.841
5.517 -1.665 2.462
1.221 -2.412 -0.598
1.809 0.020 0.406
4.251 4.650 5.152
2.701 -6.726 -0.476


NaScS4 (PBE, optimized geometry); raw total energy = -61.1 eV for the cell shown; magnetization = 0.00 μB/cell; mass density = 2.798 Mg/m³
1.0
-4.372 3.082 1.954
-3.613 -3.226 -2.996
-0.649 -4.463 5.588
S Na Sc
8 2 2
Cartesian
-6.588 -2.854 4.190
-3.738 -1.977 5.222
-2.414 -4.288 3.530
-5.264 -5.165 2.498
-6.038 -1.825 -0.165
-2.990 -2.596 -0.427
-2.227 -0.247 1.538
-5.275 0.523 1.800
-4.317 -2.304 2.273
-0.324 -2.232 2.794
-3.992 -0.072 -0.521
0.000 0.000 0.000


SrMg3Ge3 (PBE, optimized geometry); raw total energy = -39.5 eV for the cell shown; magnetization = 0.00 μB/cell; mass density = 3.122 Mg/m³; formation enthalpy at 0 K = 0.082 eV/atom
1.0
7.384 0.000 0.000
0.000 7.384 0.000
0.000 0.000 7.384
Ge Mg Sr
6 6 2
Cartesian
3.692 5.538 0.000
0.000 3.692 5.538
0.000 3.692 1.846
1.846 0.000 3.692
3.692 1.846 0.000
5.538 0.000 3.692
3.692 0.000 1.846
0.000 1.846 3.692
5.538 3.692 0.000
0.000 5.538 3.692
3.692 0.000 5.538
1.846 3.692 0.000
0.000 0.000 0.000
3.692 3.692 3.692


Sm2ErPb2 (PBE, optimized geometry); polymorph energy (0 for the lowest one) = 0.000 eV/atom; raw total energy = -47.9 eV for the cell shown; magnetization = 0.00 μB/cell; mass density = 9.597 Mg/m³; formation enthalpy at 0 K = -0.504 eV/atom
1.0
4.520 0.000 0.000
0.000 8.219 0.000
0.000 0.000 8.219
Pb Sm Er
4 4 2
Cartesian
0.000 2.981 7.091
0.000 1.128 2.981
0.000 5.238 1.128
0.000 7.091 5.238
2.260 1.379 5.488
2.260 5.488 6.841
2.260 2.731 1.379
2.260 6.841 2.731
0.000 4.110 4.110
0.000 0.000 0.000


SrPb2W (PBE, optimized geometry); polymorph energy (0 for the lowest one) = 0.333 eV/atom; raw total energy = -18.9 eV for the cell shown; magnetization = 3.10 μB/cell; mass density = 10.423 Mg/m³; formation enthalpy at 0 K = 0.784 eV/atom
1.0
4.871 0.000 0.000
0.000 4.871 0.000
0.000 0.000 4.605
Sr W Pb
1 1 2
Cartesian
2.436 0.000 2.302
0.000 2.436 2.302
2.436 2.436 0.000
0.000 0.000 0.000


NbV2Ru (PBE, optimized geometry); raw total energy = -72.2 eV for the cell shown; magnetization = 0.00 μB/cell; mass density = 7.743 Mg/m³; formation enthalpy at 0 K = 0.372 eV/atom
1.0
-3.995 5.058 -2.536
-5.651 -3.713 1.498
-4.925 1.792 1.875
V Nb Ru
4 2 2
Cartesian
-12.267 2.434 0.533
-7.178 1.936 0.982
-4.528 3.264 -0.988
-5.169 -1.359 1.147
-4.823 0.672 -0.519
-7.700 -0.624 1.427
-6.871 3.761 -0.590
0.000 0.000 0.000


SrLaIN2 (PBE, optimized geometry); polymorph energy (0 for the lowest one) = 0.694 eV/atom; raw total energy = -22.1 eV for the cell shown; magnetization = 1.78 μB/cell; mass density = 4.810 Mg/m³
1.0
4.740 0.000 0.000
0.000 4.740 0.000
0.000 0.000 5.861
N I La Sr
2 1 1 1
Cartesian
0.000 2.370 0.000
2.370 0.000 0.000
0.000 0.000 2.931
2.370 2.370 2.931
0.000 0.000 0.000